Entry 1
Below is a relaxed Ho2Tm8Zr crystal, with properties calculated at the PBE level.

Cell: 8.8274 8.8274 6.4919 Å, 101.58 101.58 42.33°
With the nearest neighbours (Å) after each atom.
Sites, in units of the cell vectors:
Ho: 0.1863 0.1863 0.3255  8 Tm 3.27-3.64, 1 Zr 3.49
Ho: 0.8137 0.8137 0.6745  8 Tm 3.27-3.64, 1 Zr 3.49
Tm: 0.1754 0.6638 0.1091  1 Zr 3.07, 5 Tm 3.11-3.39, 1 Ho 3.40
Tm: 0.2458 0.2458 0.8400  5 Tm 3.25-3.42, 4 Ho 3.27-3.62
Tm: 0.3362 0.8246 0.8909  1 Zr 3.07, 5 Tm 3.11-3.39, 1 Ho 3.40
Tm: 0.4077 0.4077 0.5859  8 Tm 3.42-3.70, 2 Zr 3.63, 3 Ho 3.64-3.67
Tm: 0.5923 0.5923 0.4141  8 Tm 3.42-3.70, 2 Zr 3.63, 3 Ho 3.64-3.67
Tm: 0.6638 0.1754 0.1091  1 Zr 3.07, 5 Tm 3.11-3.39, 1 Ho 3.40
Tm: 0.7542 0.7542 0.1600  5 Tm 3.25-3.42, 4 Ho 3.27-3.62
Tm: 0.8246 0.3362 0.8909  1 Zr 3.07, 5 Tm 3.11-3.39, 1 Ho 3.40
Zr: 0.0000 0.0000 0.5000  4 Tm 3.07

=====

Entry 2
Below is a relaxed Ho2Tm8Zr crystal, with properties calculated at the PBE level.

Cell: 9.1668 9.1668 7.7564 Å, 104.67 104.67 30.91°
With the nearest neighbours (Å) after each atom.
Sites, in units of the cell vectors:
Ho: 0.2265 0.2265 0.1347  2 Ho 3.45, 10 Tm 3.47-3.53
Ho: 0.7735 0.7735 0.8653  2 Ho 3.45, 10 Tm 3.47-3.53
Tm: 0.0442 0.0442 0.2367  9 Tm 3.35-3.59, 2 Zr 3.40, 1 Ho 3.51
Tm: 0.1318 0.1318 0.6752  7 Tm 3.35-3.58, 2 Zr 3.40, 3 Ho 3.52-3.53
Tm: 0.3213 0.3213 0.5902  1 Zr 3.41, 8 Tm 3.43-3.58, 3 Ho 3.49
Tm: 0.4111 0.4111 0.0553  1 Zr 3.39, 8 Tm 3.43-3.56, 3 Ho 3.47-3.49
Tm: 0.5889 0.5889 0.9447  1 Zr 3.39, 8 Tm 3.43-3.56, 3 Ho 3.47-3.49
Tm: 0.6787 0.6787 0.4098  1 Zr 3.41, 8 Tm 3.43-3.58, 3 Ho 3.49
Tm: 0.8682 0.8682 0.3248  7 Tm 3.35-3.58, 2 Zr 3.40, 3 Ho 3.52-3.53
Tm: 0.9558 0.9558 0.7633  9 Tm 3.35-3.59, 2 Zr 3.40, 1 Ho 3.51
Zr: 0.5000 0.5000 0.5000  12 Tm 3.39-3.41

=====

The computed energies, referenced to the most stable structure and given in eV/atom, are entry 1 0.169; entry 2 0.000.

=====

Entry 1
Below is a relaxed Ho2Tm4Zr crystal, with properties calculated at the PBE level.

Cell: 5.3113 5.3113 16.8068 Å, 90.00 90.00 90.00°
With the nearest neighbours (Å) after each atom.
Sites, in units of the cell vectors:
Ho: 0.0000 0.0000 0.1246  5 Tm 3.38
Ho: 0.0000 0.0000 0.8754  5 Tm 3.38
Ho: 0.5000 0.5000 0.3754  5 Tm 3.38
Ho: 0.5000 0.5000 0.6246  5 Tm 3.38
Tm: 0.0000 0.0000 0.3255  1 Zr 2.93
Tm: 0.0000 0.0000 0.6745  1 Zr 2.93
Tm: 0.0000 0.5000 0.0000  2 Zr 2.66
Tm: 0.0000 0.5000 0.5000  2 Zr 2.66
Tm: 0.5000 0.0000 0.0000  2 Zr 2.66
Tm: 0.5000 0.0000 0.5000  2 Zr 2.66
Tm: 0.5000 0.5000 0.1745  1 Zr 2.93
Tm: 0.5000 0.5000 0.8255  1 Zr 2.93
Zr: 0.0000 0.0000 0.5000  6 Tm 2.66-2.93
Zr: 0.5000 0.5000 0.0000  6 Tm 2.66-2.93

=====

Entry 2
Below is a relaxed Ho2Tm4Zr crystal, with properties calculated at the PBE level.

Cell: 19.4108 19.4108 19.4108 Å, 10.35 10.35 10.35°
With the nearest neighbours (Å) after each atom.
Sites, in units of the cell vectors:
Ho: 0.0000 0.0000 0.0000  6 Tm 3.46-3.48, 6 Ho 3.50
Ho: 0.0973 0.0973 0.0973  6 Tm 3.46-3.52, 6 Ho 3.50
Tm: 0.2849 0.2849 0.2849  3 Ho 3.46, 9 Tm 3.49-3.50
Tm: 0.3822 0.3822 0.3822  6 Ho 3.46-3.48, 6 Tm 3.50
Tm: 0.8139 0.8139 0.8139  3 Zr 3.26, 6 Tm 3.50, 3 Ho 3.52
Tm: 0.9025 0.9025 0.9025  3 Zr 3.27, 9 Tm 3.49-3.50
Zr: 0.1914 0.1914 0.1914  6 Tm 3.26-3.27, 6 Zr 3.50

=====

The computed energies, referenced to the most stable structure and given in eV/atom, are entry 1 0.582; entry 2 0.000.

=====

Entry 1
Below is a relaxed HoTm6Zr2 crystal, with properties calculated at the PBE level.

Cell: 3.4651 3.4651 25.0445 Å, 90.00 90.00 120.00°
With the nearest neighbours (Å) after each atom.
Sites, in units of the cell vectors:
Ho: 0.0000 0.0000 0.0000  6 Ho 3.47, 6 Tm 3.47
Tm: 0.0000 0.0000 0.2269  3 Zr 3.29, 9 Tm 3.47-3.48
Tm: 0.0000 0.0000 0.4328  3 Zr 3.24, 7 Tm 3.37-3.47
Tm: 0.0000 0.0000 0.5672  3 Zr 3.24, 7 Tm 3.37-3.47
Tm: 0.0000 0.0000 0.7731  3 Zr 3.29, 9 Tm 3.47-3.48
Tm: 0.3333 0.6667 0.1132  9 Tm 3.47-3.48, 3 Ho 3.47
Tm: 0.3333 0.6667 0.8868  9 Tm 3.47-3.48, 3 Ho 3.47
Zr: 0.3333 0.6667 0.3312  6 Tm 3.24-3.29, 6 Zr 3.47
Zr: 0.3333 0.6667 0.6688  6 Tm 3.24-3.29, 6 Zr 3.47

=====

Entry 2
Below is a relaxed HoTm6Zr2 crystal, with properties calculated at the PBE level.

Cell: 6.5478 6.5478 12.0286 Å, 105.23 105.23 31.33°
With the nearest neighbours (Å) after each atom.
Sites, in units of the cell vectors:
Ho: 0.0000 0.0000 0.0000  8 Tm 3.51-3.75, 2 Ho 3.54, 4 Zr 3.77
Tm: 0.0239 0.0239 0.7043  2 Zr 3.18, 8 Tm 3.27-3.54
Tm: 0.2881 0.2881 0.1131  2 Zr 3.13, 4 Tm 3.17-3.27
Tm: 0.3508 0.3508 0.4699  3 Zr 3.32-3.35, 9 Tm 3.33-3.63
Tm: 0.6492 0.6492 0.5301  3 Zr 3.32-3.35, 9 Tm 3.33-3.63
Tm: 0.7119 0.7119 0.8869  2 Zr 3.13, 4 Tm 3.17-3.27
Tm: 0.9761 0.9761 0.2957  2 Zr 3.18, 8 Tm 3.27-3.54
Zr: 0.3248 0.3248 0.7373  7 Tm 3.13-3.35
Zr: 0.6752 0.6752 0.2627  7 Tm 3.13-3.35

=====

The computed energies, referenced to the most stable structure and given in eV/atom, are entry 1 0.000; entry 2 0.039.

=====

Entry 1
Below is a relaxed Ho6Tm2Zr crystal, with properties calculated at the PBE level.

Cell: 7.5214 7.5214 7.5214 Å, 57.58 57.58 57.58°
With the nearest neighbours (Å) after each atom.
Sites, in units of the cell vectors:
Ho: 0.0064 0.4968 0.4968  1 Zr 3.07, 2 Ho 3.43
Ho: 0.2846 0.2846 0.8486  1 Zr 2.76
Ho: 0.2846 0.8486 0.2846  1 Zr 2.76
Ho: 0.4968 0.0064 0.4968  1 Zr 3.07, 2 Ho 3.43
Ho: 0.4968 0.4968 0.0064  1 Zr 3.07, 2 Ho 3.43
Ho: 0.8486 0.2846 0.2846  1 Zr 2.76
Tm: 0.8161 0.8161 0.8161  1 Tm 3.28, 9 Ho 3.52-3.64
Tm: 0.9911 0.9911 0.9911  1 Tm 3.28, 9 Ho 3.32-3.63
Zr: 0.5485 0.5485 0.5485  6 Ho 2.76-3.07

=====

Entry 2
Below is a relaxed Ho6Tm2Zr crystal, with properties calculated at the PBE level.

Cell: 3.5117 3.5117 25.5638 Å, 90.00 90.00 120.00°
With the nearest neighbours (Å) after each atom.
Sites, in units of the cell vectors:
Ho: 0.0000 0.0000 0.0670  7 Ho 3.43-3.51, 3 Tm 3.43
Ho: 0.0000 0.0000 0.2850  3 Tm 3.46, 9 Ho 3.51-3.54
Ho: 0.0000 0.0000 0.7150  3 Tm 3.46, 9 Ho 3.51-3.54
Ho: 0.0000 0.0000 0.9330  7 Ho 3.43-3.51, 3 Tm 3.43
Ho: 0.3333 0.6667 0.3987  3 Zr 3.29, 9 Ho 3.51-3.54
Ho: 0.3333 0.6667 0.6013  3 Zr 3.29, 9 Ho 3.51-3.54
Tm: 0.3333 0.6667 0.1751  6 Ho 3.43-3.46, 6 Tm 3.51
Tm: 0.3333 0.6667 0.8249  6 Ho 3.43-3.46, 6 Tm 3.51
Zr: 0.0000 0.0000 0.5000  6 Ho 3.29, 6 Zr 3.51

=====

The computed energies, referenced to the most stable structure and given in eV/atom, are entry 1 0.299; entry 2 0.000.

=====

Entry 1
Below is a relaxed HoZr2V crystal, with properties calculated at the PBE level.

Cell: 3.2450 3.2450 29.7916 Å, 90.00 90.00 120.00°
With the nearest neighbours (Å) after each atom.
Sites, in units of the cell vectors:
Ho: 0.0000 0.0000 0.0000  6 Ho 3.25, 6 Zr 3.39
Ho: 0.3333 0.6667 0.6667  6 Ho 3.25, 6 Zr 3.39
Ho: 0.6667 0.3333 0.3333  6 Ho 3.25, 6 Zr 3.39
Zr: 0.0000 0.0000 0.2383  3 V 2.84
Zr: 0.0000 0.0000 0.7617  3 V 2.84
Zr: 0.3333 0.6667 0.4284  3 V 2.84
Zr: 0.3333 0.6667 0.9050  3 V 2.84
Zr: 0.6667 0.3333 0.0950  3 V 2.84
Zr: 0.6667 0.3333 0.5716  3 V 2.84
V: 0.0000 0.0000 0.5000  6 Zr 2.84
V: 0.3333 0.6667 0.1667  6 Zr 2.84
V: 0.6667 0.3333 0.8333  6 Zr 2.84

=====

Entry 2
Below is a relaxed HoZr2V crystal, with properties calculated at the PBE level.

Cell: 3.4087 3.4087 7.6983 Å, 90.00 90.00 90.00°
With the nearest neighbours (Å) after each atom.
Sites, in units of the cell vectors:
Ho: 0.0000 0.0000 0.0000  8 Zr 3.34, 4 Ho 3.41
Zr: 0.5000 0.5000 0.3005  4 V 2.86, 1 Zr 3.07
Zr: 0.5000 0.5000 0.6995  4 V 2.86, 1 Zr 3.07
V: 0.0000 0.0000 0.5000  8 Zr 2.86

=====

The computed energies, referenced to the most stable structure and given in eV/atom, are entry 1 0.117; entry 2 0.000.

=====

Entry 1
Below is a relaxed YHo2 crystal, with properties calculated at the PBE level.

Cell: 6.1898 3.5796 8.7724 Å, 90.00 103.71 90.00°
With the nearest neighbours (Å) after each atom.
Sites, in units of the cell vectors:
Y: 0.0000 0.0000 0.0000  6 Ho 3.53, 6 Y 3.58
Y: 0.5000 0.5000 0.0000  6 Ho 3.53, 6 Y 3.58
Ho: 0.2212 0.0000 0.6646  9 Ho 3.48-3.58, 3 Y 3.53
Ho: 0.2788 0.5000 0.3354  9 Ho 3.48-3.58, 3 Y 3.53
Ho: 0.7212 0.5000 0.6646  9 Ho 3.48-3.58, 3 Y 3.53
Ho: 0.7788 0.0000 0.3354  9 Ho 3.48-3.58, 3 Y 3.53

=====

Entry 2
Below is a relaxed YHo2 crystal, with properties calculated at the PBE level.

Cell: 3.4530 5.7233 9.9409 Å, 90.00 90.00 90.00°
With the nearest neighbours (Å) after each atom.
Sites, in units of the cell vectors:
Y: 0.0000 0.0000 0.0000  8 Ho 3.43-3.53, 2 Y 3.45
Y: 0.5000 0.5000 0.5000  8 Ho 3.43-3.53, 2 Y 3.45
Ho: 0.0000 0.5000 0.1903  4 Y 3.43-3.53, 7 Ho 3.45-3.78
Ho: 0.0000 0.5000 0.8097  4 Y 3.43-3.53, 7 Ho 3.45-3.78
Ho: 0.5000 0.0000 0.3097  4 Y 3.43-3.53, 7 Ho 3.45-3.78
Ho: 0.5000 0.0000 0.6903  4 Y 3.43-3.53, 7 Ho 3.45-3.78

=====

Entry 3
Below is a relaxed YHo2 crystal, with properties calculated at the PBE level.

Cell: 6.5396 6.5396 6.5396 Å, 60.00 60.00 60.00°
With the nearest neighbours (Å) after each atom.
Sites, in units of the cell vectors:
Y: 0.1250 0.1250 0.1250  12 Ho 3.83, 4 Y 4.00
Y: 0.8750 0.8750 0.8750  12 Ho 3.83, 4 Y 4.00
Ho: 0.0000 0.5000 0.5000  6 Ho 3.27
Ho: 0.5000 0.0000 0.5000  6 Ho 3.27
Ho: 0.5000 0.5000 0.0000  6 Ho 3.27
Ho: 0.5000 0.5000 0.5000  6 Ho 3.27

=====

The computed energies, referenced to the most stable structure and given in eV/atom, are entry 1 0.000; entry 2 0.197; entry 3 0.234.